# 1
DFT (PBE) results for a relaxed CaCrTcAg2 crystal.

Cell: 5.059 5.059 4.240 Å, 90.00 90.00 90.00°
Atoms (fractional coordinates):
Ca (0.000, 0.000, 0.000)
Cr (0.500, 0.500, 0.500)
Tc (0.500, 0.500, 0.000)
Ag (0.000, 0.500, 0.500)
Ag (0.500, 0.000, 0.500)

Properties
The space-group type is P4/mmm (123). The energy relative to the elements comes out at 65.2 kJ per mole of atoms.

# 2
DFT (PBE) results for a relaxed CaTlCr2Ag crystal.

Cell: 4.581 4.581 5.171 Å, 90.00 90.00 90.00°
Atoms (fractional coordinates):
Ca (0.000, 0.000, 0.000)
Tl (0.500, 0.500, 0.500)
Cr (0.000, 0.500, 0.000)
Cr (0.500, 0.000, 0.000)
Ag (0.000, 0.000, 0.500)

Properties
The space-group type is P4/mmm (123). The energy relative to the elements comes out at 203.4 kJ per mole of atoms.

# 3
DFT (PBE) results for a relaxed CaCrAgW2 crystal.

Cell: 4.693 4.693 4.237 Å, 90.00 90.00 90.00°
Atoms (fractional coordinates):
Ca (0.000, 0.000, 0.000)
Cr (0.000, 0.000, 0.500)
Ag (0.500, 0.500, 0.500)
W (0.000, 0.500, 0.000)
W (0.500, 0.000, 0.000)

Properties
The space-group type is P4/mmm (123). The energy relative to the elements comes out at 286.0 kJ per mole of atoms.

# 4
DFT (PBE) results for a relaxed CsCaAg3 crystal.

Cell: 5.890 5.890 5.890 Å, 90.00 90.00 90.00°
Atoms (fractional coordinates):
Cs (0.000, 0.000, 0.000)
Ca (0.500, 0.500, 0.500)
Ag (0.000, 0.500, 0.500)
Ag (0.500, 0.000, 0.500)
Ag (0.500, 0.500, 0.000)

Properties
The energy above the most stable polymorph in this dataset comes out at 0 meV/atom. The space-group type is Pm-3m (221). The energy relative to the elements comes out at 23.5 kJ per mole of atoms.